# 1
# MnCdRe2 | the Alexandria database | PBE-GGA | optimized geometry
data_MnCdRe2
_cell_length_a 5.406
_cell_length_b 8.658
_cell_length_c 2.655
_cell_angle_alpha 90.00
_cell_angle_beta 90.00
_cell_angle_gamma 90.00
_space_group_name_H-M_alt 'P 1'
_space_group_IT_number 1
_space_group_name_Hall 'P 1'
loop_
_atom_site_label
_atom_site_fract_x
_atom_site_fract_y
_atom_site_fract_z
Mn1 0.000 0.000 0.000
Mn2 0.500 0.500 0.000
Cd1 0.000 0.500 0.000
Cd2 0.500 0.000 0.000
Re1 0.250 0.250 0.500
Re2 0.250 0.750 0.500
Re3 0.750 0.250 0.500
Re4 0.750 0.750 0.500
# Energy   -8.1212 eV/atom
# DFT formation energy   0.624 eV per atom
# Magnetic moment   4.6 Bohr magnetons per cell
# Mass density   14.42 g/cm³
# Symmetry   Cmmm (65)

***

# 2
# Mn2CdRe | the Alexandria database | PBE-GGA | optimized geometry
data_Mn2CdRe
_cell_length_a 9.212
_cell_length_b 2.851
_cell_length_c 4.674
_cell_angle_alpha 90.00
_cell_angle_beta 103.08
_cell_angle_gamma 90.00
_space_group_name_H-M_alt 'P 1'
_space_group_IT_number 1
_space_group_name_Hall 'P 1'
loop_
_atom_site_label
_atom_site_fract_x
_atom_site_fract_y
_atom_site_fract_z
Mn1 0.000 0.000 0.000
Mn2 0.246 0.500 0.277
Mn3 0.500 0.500 0.000
Mn4 0.746 0.000 0.277
Cd1 0.004 0.500 0.504
Cd2 0.504 0.000 0.504
Re1 0.267 0.000 0.821
Re2 0.767 0.500 0.821
# Energy   -7.5040 eV/atom
# DFT formation energy   0.422 eV per atom
# Magnetic moment   9.1 Bohr magnetons per cell
# Mass density   11.35 g/cm³
# Symmetry   Cm (8)

***

# 3
# MnCdRe2 | the Alexandria database | PBE-GGA | optimized geometry
data_MnCdRe2
_cell_length_a 3.001
_cell_length_b 3.001
_cell_length_c 7.282
_cell_angle_alpha 90.00
_cell_angle_beta 90.00
_cell_angle_gamma 90.00
_space_group_name_H-M_alt 'P 1'
_space_group_IT_number 1
_space_group_name_Hall 'P 1'
loop_
_atom_site_label
_atom_site_fract_x
_atom_site_fract_y
_atom_site_fract_z
Mn1 0.000 0.000 0.000
Cd1 0.500 0.500 0.731
Re1 0.000 0.000 0.441
Re2 0.500 0.500 0.237
# Energy   -8.4542 eV/atom
# DFT formation energy   0.291 eV per atom
# Magnetic moment   3.9 Bohr magnetons per cell
# Mass density   13.67 g/cm³
# Symmetry   P4mm (99)

***

# 4
# MnCdRe2 | the Alexandria database | PBE-GGA | optimized geometry
data_MnCdRe2
_cell_length_a 2.817
_cell_length_b 4.550
_cell_length_c 9.713
_cell_angle_alpha 90.00
_cell_angle_beta 90.00
_cell_angle_gamma 90.00
_space_group_name_H-M_alt 'P 1'
_space_group_IT_number 1
_space_group_name_Hall 'P 1'
loop_
_atom_site_label
_atom_site_fract_x
_atom_site_fract_y
_atom_site_fract_z
Mn1 0.000 0.000 0.000
Mn2 0.500 0.500 0.500
Cd1 0.000 0.000 0.500
Cd2 0.500 0.500 0.000
Re1 0.000 0.500 0.283
Re2 0.000 0.500 0.717
Re3 0.500 0.000 0.217
Re4 0.500 0.000 0.783
# Energy   -8.3324 eV/atom
# DFT formation energy   0.413 eV per atom
# Magnetic moment   3.4 Bohr magnetons per cell
# Mass density   14.40 g/cm³
# Symmetry   Immm (71)